Material: ZnNiIrRh
Method: DFT, PBE
State: relaxed

Cell lengths 4.235, 4.235, 4.235 Å; angles 60.00, 60.00, 60.00 degrees
Fractional coordinates of all 4 atoms:
Ni (0.750, 0.750, 0.750)
Zn (0.250, 0.250, 0.250)
Ir (0.500, 0.500, 0.500)
Rh (0.000, 0.000, 0.000)

Computed properties:
For the uncorrected energy, the calculation gives -23.38 eV per cell. For the size of the total moment, the calculation gives 0.4891 μB/atom.